Record 1
VASP calculation (PBE) on a relaxed KTc3O12 crystal.

Cell lengths 8.884, 8.884, 12.137 Å; angles 68.53, 68.53, 60.00 degrees
Last column: magnetic moment on the atom in μB.
Sites, in units of the cell vectors:
K (0.065, 0.065, 0.806)  0.00
K (0.565, 0.565, 0.306)  0.00
Tc (0.661, 0.348, 0.001)  -0.10
Tc (0.161, 0.490, 0.501)  -0.10
Tc (0.848, 0.161, 0.501)  -0.10
Tc (0.348, 0.990, 0.001)  -0.10
Tc (0.990, 0.661, 0.001)  -0.10
Tc (0.490, 0.848, 0.501)  -0.10
O (0.118, 0.124, 0.017)  0.23
O (0.155, 0.322, 0.631)  0.08
O (0.953, 0.943, 0.476)  0.32
O (0.800, 0.425, 0.877)  0.04
O (0.300, 0.399, 0.377)  0.04
O (0.453, 0.128, 0.976)  0.32
O (0.655, 0.392, 0.131)  0.08
O (0.943, 0.628, 0.476)  0.32
O (0.618, 0.241, 0.517)  0.23
O (0.892, 0.155, 0.631)  0.08
O (0.925, 0.300, 0.377)  0.04
O (0.241, 0.624, 0.517)  0.23
O (0.128, 0.443, 0.976)  0.32
O (0.741, 0.118, 0.017)  0.23
O (0.425, 0.899, 0.877)  0.04
O (0.392, 0.822, 0.131)  0.08
O (0.822, 0.655, 0.131)  0.08
O (0.443, 0.453, 0.976)  0.32
O (0.624, 0.618, 0.517)  0.23
O (0.899, 0.800, 0.877)  0.04
O (0.399, 0.925, 0.377)  0.04
O (0.124, 0.741, 0.017)  0.23
O (0.322, 0.892, 0.631)  0.08
O (0.628, 0.953, 0.476)  0.32

Values from the calculation:
calculated volume	23.5	Å³ per atom
space group	R3c (161)
uncorrected energy	-220.18	eV for the cell shown

Record 2
VASP calculation (PBE) on a relaxed La11Ga9Ni4 crystal.

Cell lengths 3.802, 12.893, 12.893 Å; angles 112.80, 90.00, 90.00 degrees
Sites, in units of the cell vectors:
La (0.000, 0.586, 0.934)
La (0.000, 0.414, 0.066)
La (0.000, 0.934, 0.586)
La (0.000, 0.066, 0.414)
La (0.000, 0.626, 0.374)
La (0.000, 0.374, 0.626)
La (0.000, 0.833, 0.167)
La (0.000, 0.167, 0.833)
La (0.000, 0.000, 0.000)
La (0.000, 0.690, 0.690)
La (0.000, 0.310, 0.310)
Ga (0.500, 0.631, 0.170)
Ga (0.500, 0.369, 0.830)
Ga (0.500, 0.170, 0.631)
Ga (0.500, 0.830, 0.369)
Ga (0.500, 0.778, 0.916)
Ga (0.500, 0.222, 0.084)
Ga (0.500, 0.916, 0.778)
Ga (0.500, 0.084, 0.222)
Ga (0.500, 0.500, 0.500)
Ni (0.500, 0.557, 0.762)
Ni (0.500, 0.443, 0.238)
Ni (0.500, 0.762, 0.557)
Ni (0.500, 0.238, 0.443)

Values from the calculation:
calculated volume	24.3	Å³ per atom
DFT formation energy	-0.54	eV per atom
space group	Cmmm (65)

Record 3
VASP calculation (PBE) on a relaxed AgBr3N2 crystal.

Cell lengths 11.415, 11.415, 6.956 Å; angles 90.00, 90.00, 154.72 degrees
Sites, in units of the cell vectors:
Ag (0.999, 0.999, 0.250)
Ag (0.001, 0.001, 0.750)
Br (0.501, 0.501, 0.750)
Br (0.499, 0.499, 0.250)
Br (0.668, 0.332, 0.000)
Br (0.332, 0.668, 0.500)
Br (0.668, 0.332, 0.500)
Br (0.332, 0.668, 0.000)
N (0.293, 0.707, 0.250)
N (0.293, 0.707, 0.750)
N (0.707, 0.293, 0.250)
N (0.707, 0.293, 0.750)

Values from the calculation:
calculated volume	32.3	Å³ per atom
space group	Cmcm (63)
uncorrected energy	-33.89	eV for the cell shown

Record 4
VASP calculation (PBE) on a relaxed NpInNi17 crystal.

Cell lengths 6.214, 6.214, 6.214 Å; angles 82.67, 82.67, 82.67 degrees
Last column: magnetic moment on the atom in μB.
Sites, in units of the cell vectors:
Np (0.662, 0.662, 0.662)  -3.41
In (0.343, 0.343, 0.343)  -0.01
Ni (0.297, 0.000, 0.701)  0.42
Ni (0.701, 0.297, 0.000)  0.42
Ni (0.000, 0.701, 0.297)  0.42
Ni (0.297, 0.701, 0.000)  0.42
Ni (0.000, 0.297, 0.701)  0.42
Ni (0.701, 0.000, 0.297)  0.42
Ni (0.345, 0.855, 0.345)  0.51
Ni (0.345, 0.345, 0.855)  0.51
Ni (0.855, 0.345, 0.345)  0.51
Ni (0.647, 0.163, 0.647)  0.45
Ni (0.647, 0.647, 0.163)  0.45
Ni (0.163, 0.647, 0.647)  0.45
Ni (0.993, 0.507, 0.993)  0.53
Ni (0.993, 0.993, 0.507)  0.53
Ni (0.507, 0.993, 0.993)  0.53
Ni (0.902, 0.902, 0.902)  0.44
Ni (0.102, 0.102, 0.102)  0.44

Values from the calculation:
calculated volume	12.3	Å³ per atom
DFT formation energy	-0.01	eV per atom
space group	R3m (160)

Record 5
VASP calculation (PBE) on a relaxed CaSbIr2 crystal.

Cell lengths 3.015, 4.041, 6.531 Å; angles 90.00, 90.00, 90.00 degrees
Sites, in units of the cell vectors:
Sb (0.000, 0.000, 0.441)
Ca (0.500, 0.500, 0.783)
Ir (0.000, 0.000, 0.044)
Ir (0.500, 0.500, 0.233)

Values from the calculation:
calculated volume	19.9	Å³ per atom
space group	Pmm2 (25)
uncorrected energy	-23.97	eV for the cell shown

Record 6
VASP calculation (PBE) on a relaxed ErZn4Bi crystal.

Cell lengths 5.531, 5.531, 5.531 Å; angles 60.00, 60.00, 60.00 degrees
Sites, in units of the cell vectors:
Zn (0.623, 0.623, 0.130)
Zn (0.623, 0.130, 0.623)
Zn (0.623, 0.623, 0.623)
Zn (0.130, 0.623, 0.623)
Bi (0.000, 0.000, 0.000)
Er (0.250, 0.250, 0.250)

Values from the calculation:
calculated volume	19.9	Å³ per atom
DFT formation energy	-0.10	eV per atom
space group	F-43m (216)

Record 7
VASP calculation (PBE) on a relaxed GaNiAu crystal.

Cell lengths 3.101, 3.101, 5.044 Å; angles 107.90, 107.90, 90.00 degrees
Sites, in units of the cell vectors:
Ni (0.927, 0.927, 0.855)
Au (0.617, 0.617, 0.234)
Ga (0.305, 0.305, 0.611)

Values from the calculation:
calculated volume	14.6	Å³ per atom
DFT formation energy	-0.17	eV per atom
space group	I4mm (107)

Record 8
VASP calculation (PBE) on a relaxed Y3TmRu2 crystal.

Cell lengths 6.698, 7.043, 8.310 Å; angles 115.07, 113.76, 90.00 degrees
Sites, in units of the cell vectors:
Y (0.500, 0.250, 0.000)
Y (0.500, 0.750, 0.000)
Y (0.767, 0.017, 0.533)
Y (0.233, 0.483, 0.467)
Y (0.233, 0.983, 0.467)
Y (0.767, 0.517, 0.533)
Tm (0.000, 0.500, 0.000)
Tm (0.000, 0.000, 0.000)
Ru (0.589, 0.366, 0.732)
Ru (0.857, 0.134, 0.268)
Ru (0.143, 0.866, 0.732)
Ru (0.411, 0.634, 0.268)

Values from the calculation:
calculated volume	26.5	Å³ per atom
relative energy among the computed polymorphs	0	meV/atom
DFT formation energy	-0.22	eV per atom
space group	Ibam (72)

Record 9
VASP calculation (PBE) on a relaxed NaSb2O crystal.

Cell lengths 5.478, 5.478, 8.218 Å; angles 70.53, 70.53, 90.00 degrees
Sites, in units of the cell vectors:
Sb (0.474, 0.125, 0.250)
Sb (0.276, 0.625, 0.250)
Sb (0.375, 0.526, 0.750)
Sb (0.875, 0.724, 0.750)
O (0.500, 0.500, 0.000)
O (0.250, 0.750, 0.500)
Na (0.000, 0.000, 0.000)
Na (0.750, 0.250, 0.500)

Values from the calculation:
calculated volume	27.2	Å³ per atom
space group	I-42d (122)
uncorrected energy	-31.33	eV for the cell shown

Record 10
VASP calculation (PBE) on a relaxed NdHfBi3 crystal.

Cell lengths 6.523, 6.676, 13.757 Å; angles 90.00, 90.00, 90.00 degrees
Sites, in units of the cell vectors:
Nd (0.750, 0.489, 0.683)
Nd (0.250, 0.511, 0.317)
Nd (0.750, 0.989, 0.317)
Nd (0.250, 0.011, 0.683)
Hf (0.500, 0.250, 0.093)
Hf (0.000, 0.750, 0.907)
Hf (0.500, 0.750, 0.907)
Hf (0.000, 0.250, 0.093)
Bi (0.000, 0.250, 0.497)
Bi (0.500, 0.750, 0.503)
Bi (0.000, 0.750, 0.503)
Bi (0.500, 0.250, 0.497)
Bi (0.250, 0.119, 0.921)
Bi (0.750, 0.881, 0.079)
Bi (0.250, 0.619, 0.079)
Bi (0.750, 0.381, 0.921)
Bi (0.250, 0.513, 0.759)
Bi (0.750, 0.487, 0.241)
Bi (0.250, 0.013, 0.241)
Bi (0.750, 0.987, 0.759)

Values from the calculation:
calculated volume	30.0	Å³ per atom
DFT formation energy	-0.46	eV per atom
space group	Pbcm (57)

Record 11
VASP calculation (PBE) on a relaxed LiGaPbAu crystal.

Cell lengths 4.877, 4.877, 4.877 Å; angles 60.00, 60.00, 60.00 degrees
Sites, in units of the cell vectors:
Pb (0.000, 0.000, 0.000)
Au (0.750, 0.750, 0.750)
Ga (0.500, 0.500, 0.500)
Li (0.250, 0.250, 0.250)

Values from the calculation:
calculated volume	20.5	Å³ per atom
DFT formation energy	-0.15	eV per atom
space group	F-43m (216)

Record 12
VASP calculation (PBE) on a relaxed MnNiIr3 crystal.

Cell lengths 4.417, 4.417, 4.417 Å; angles 90.00, 90.00, 90.00 degrees
Sites, in units of the cell vectors:
Ni (0.500, 0.500, 0.500)
Ir (0.000, 0.500, 0.000)
Ir (0.000, 0.000, 0.500)
Ir (0.500, 0.000, 0.000)
Mn (0.000, 0.000, 0.000)

Values from the calculation:
calculated volume	17.2	Å³ per atom
relative energy among the computed polymorphs	121	meV/atom
DFT formation energy	1.53	eV per atom
space group	Pm-3m (221)

Please write out number 8 again, unchanged.
VASP calculation (PBE) on a relaxed Y3TmRu2 crystal.

Cell lengths 6.698, 7.043, 8.310 Å; angles 115.07, 113.76, 90.00 degrees
Sites, in units of the cell vectors:
Y (0.500, 0.250, 0.000)
Y (0.500, 0.750, 0.000)
Y (0.767, 0.017, 0.533)
Y (0.233, 0.483, 0.467)
Y (0.233, 0.983, 0.467)
Y (0.767, 0.517, 0.533)
Tm (0.000, 0.500, 0.000)
Tm (0.000, 0.000, 0.000)
Ru (0.589, 0.366, 0.732)
Ru (0.857, 0.134, 0.268)
Ru (0.143, 0.866, 0.732)
Ru (0.411, 0.634, 0.268)

Values from the calculation:
calculated volume	26.5	Å³ per atom
relative energy among the computed polymorphs	0	meV/atom
DFT formation energy	-0.22	eV per atom
space group	Ibam (72)